Compound: FeTe2Pt
Source: Alexandria
Functional: SCAN
Structure: single point on PBEsol structure Values from VASP.

```
&SYSTEM
  ibrav = 0, nat = 8, ntyp = 3
/
ATOMIC_SPECIES
Fe 55.84 Fe.upf
Te 127.60 Te.upf
Pt 195.08 Pt.upf
ATOMIC_POSITIONS crystal
Fe 0.0000 0.0000 0.0000
Fe 0.7500 0.2500 0.5000
Te 0.1071 0.6250 0.9821
Te 0.3750 0.3571 0.4821
Te 0.6429 0.1250 0.0179
Te 0.8750 0.8929 0.5179
Pt 0.2500 0.7500 0.5000
Pt 0.5000 0.5000 0.0000
CELL_PARAMETERS angstrom
-2.9278 2.9278 5.7644
2.9278 -2.9278 5.7644
2.9278 2.9278 -5.7644
```

Computed properties:
**Uncorrected formation energy**: -0.019 eV per atom
**Space-group type**: I-42d (122)
**DFT total energy**: -40.725 eV per atom
**Density of states at the Fermi level**: 6.66 states/eV/cell
**Total magnetic moment**: 5.3 μB per cell

Compound: FeTePt2
Source: Alexandria
Functional: SCAN
Structure: single point on PBEsol structure Values from VASP.

```
&SYSTEM
  ibrav = 0, nat = 4, ntyp = 3
/
ATOMIC_SPECIES
Fe 55.84 Fe.upf
Te 127.60 Te.upf
Pt 195.08 Pt.upf
ATOMIC_POSITIONS crystal
Fe 0.0000 0.0000 0.0000
Te 0.5000 0.5000 0.5000
Pt 0.2498 0.2498 0.7498
Pt 0.7502 0.7502 0.2502
CELL_PARAMETERS angstrom
4.5500 -1.9698 0.0000
4.5500 1.9698 0.0000
-1.6977 0.0000 3.5550
```

Computed properties:
**Uncorrected formation energy**: 0.049 eV per atom
**Space-group type**: C2/m (12)
**DFT total energy**: -48.892 eV per atom
**Density of states at the Fermi level**: 4.33 states/eV/cell
**Total magnetic moment**: 3.4 μB per cell

Compound: FeTe2Pt
Source: Alexandria
Functional: SCAN
Structure: single point on PBEsol structure Values from VASP.

```
&SYSTEM
  ibrav = 0, nat = 4, ntyp = 3
/
ATOMIC_SPECIES
Fe 55.84 Fe.upf
Te 127.60 Te.upf
Pt 195.08 Pt.upf
ATOMIC_POSITIONS crystal
Fe 0.0000 0.0000 0.0000
Te 0.2639 0.2639 0.7914
Te 0.4580 0.4580 0.3739
Pt 0.7212 0.7212 0.1634
CELL_PARAMETERS angstrom
3.4098 -1.9702 0.0000
3.4098 1.9702 0.0000
-2.2792 0.0000 6.3983
```

Computed properties:
**Uncorrected formation energy**: -0.215 eV per atom
**Space-group type**: Cm (8)
**DFT total energy**: -40.921 eV per atom
**Density of states at the Fermi level**: 1.72 states/eV/cell
**Total magnetic moment**: 2.8 μB per cell

Compound: FeTePt2
Source: Alexandria
Functional: SCAN
Structure: single point on PBEsol structure Values from VASP.

```
&SYSTEM
  ibrav = 0, nat = 4, ntyp = 3
/
ATOMIC_SPECIES
Fe 55.84 Fe.upf
Te 127.60 Te.upf
Pt 195.08 Pt.upf
ATOMIC_POSITIONS crystal
Fe 0.0000 0.0000 0.0000
Te 0.5000 0.5000 0.0000
Pt 0.0000 0.5000 0.5000
Pt 0.5000 0.0000 0.5000
CELL_PARAMETERS angstrom
3.8968 0.0000 0.0000
0.0000 3.8968 0.0000
0.0000 0.0000 4.1939
```

Computed properties:
**Uncorrected formation energy**: 0.052 eV per atom
**Space-group type**: P4/mmm (123)
**DFT total energy**: -48.890 eV per atom
**Density of states at the Fermi level**: 3.59 states/eV/cell
**Total magnetic moment**: 3.4 μB per cell

Which of these has the lowest DFT total energy?
number 2